Entry 1:
A relaxed structure of AcCd4As. Source: Alexandria, functional PBE-GGA.

Cell lengths 6.0404, 6.0404, 6.0404 Å; angles 60.00, 60.00, 60.00 degrees
Element x y z (fractional)
Ac 0.0000 0.0000 0.0000
Cd 0.1280 0.6240 0.6240
Cd 0.6240 0.1280 0.6240
Cd 0.6240 0.6240 0.1280
Cd 0.6240 0.6240 0.6240
As 0.2500 0.2500 0.2500

Output
The value obtained for the magnetization is 0.0 μB per formula unit. The space group is F-43m, No. 216. As for the formation enthalpy at 0 K: -0.0962 eV per atom.

---

Entry 2:
A relaxed structure of ThNb2Ni9. Source: Alexandria, functional PBE-GGA.

Cell lengths 8.4133, 8.4133, 8.4133 Å; angles 33.57, 33.57, 33.57 degrees
Element x y z (fractional)
Th 0.0000 0.0000 0.0000
Nb 0.1441 0.1441 0.1441
Nb 0.8559 0.8559 0.8559
Ni 0.0829 0.5892 0.5892
Ni 0.3335 0.3335 0.3335
Ni 0.4108 0.4108 0.9171
Ni 0.4108 0.9171 0.4108
Ni 0.5000 0.5000 0.5000
Ni 0.5892 0.0830 0.5892
Ni 0.5892 0.5892 0.0829
Ni 0.6665 0.6665 0.6665
Ni 0.9170 0.4108 0.4108

Output
The value obtained for the magnetization is 0.0 μB per formula unit. The space group is R-3m, No. 166. As for the formation enthalpy at 0 K: -0.2982 eV per atom.

---

Entry 3:
A relaxed structure of ScZnNi3. Source: Alexandria, functional PBE-GGA.

Cell lengths 4.3272, 4.3272, 4.3272 Å; angles 90.00, 90.00, 90.00 degrees
Element x y z (fractional)
Sc 0.0000 0.0000 0.0000
Zn 0.5000 0.5000 0.5000
Ni 0.0000 0.5000 0.5000
Ni 0.5000 0.0000 0.5000
Ni 0.5000 0.5000 0.0000

Output
The value obtained for the magnetization is 0.0 μB per formula unit. The space group is Pm-3m, No. 221. As for the formation enthalpy at 0 K: 0.3394 eV per atom.

---

Entry 4:
A relaxed structure of NaInAg4. Source: Alexandria, functional PBE-GGA.

Cell lengths 5.6327, 5.6327, 5.6327 Å; angles 60.00, 60.00, 60.00 degrees
Element x y z (fractional)
Na 0.0000 0.0000 0.0000
In 0.7500 0.7500 0.7500
Ag 0.3748 0.3748 0.3748
Ag 0.3748 0.3748 0.8755
Ag 0.3748 0.8755 0.3748
Ag 0.8755 0.3748 0.3748

Output
The value obtained for the magnetization is 0.0 μB per formula unit. The space group is F-43m, No. 216. As for the formation enthalpy at 0 K: -0.0138 eV per atom.